# Re2RuBr, relaxed, DFT PBE
data_Re2RuBr
_space_group_name_H-M_alt 'F m -3 m'
_space_group_IT_number 225
_space_group_name_Hall '-F 4 2 3'
_cell_length_a 6.262
_cell_length_b 6.262
_cell_length_c 6.262
_cell_angle_alpha 90.00
_cell_angle_beta 90.00
_cell_angle_gamma 90.00
loop_
_atom_site_label
_atom_site_type_symbol
_atom_site_fract_x
_atom_site_fract_y
_atom_site_fract_z
_atom_site_occupancy
Re1 Re 0.250 0.250 0.250 1
Ru1 Ru 0.000 0.000 0.000 1
Br1 Br 0.000 0.000 0.500 1
# * volume: 15.3 A^3/atom
# * energy relative to the lowest polymorph listed for this composition: 594.0 meV per atom
# * DOS at the Fermi energy: 5.29 states/eV/f.u.
# * energy relative to the elements, uncorrected: 1.179 eV/atom
# * E_tot: -124.5 eV/cell